Computed, not measured: an optimized crystal structure of Tb3Nd2Sm5 at the PBE level of DFT.

Distance to the lowest polymorph of the same formula: 0 meV per atom
ΔE_f: 0.188 eV/atom

```
data_Tb3Nd2Sm5
_symmetry_space_group_name_H-M 'C 1 2/c 1'
_symmetry_Int_Tables_number 15
_symmetry_space_group_name_Hall '-C 2yc'
_cell_length_a 10.8547
_cell_length_b 15.9290
_cell_length_c 9.5948
_cell_angle_alpha 90.00
_cell_angle_beta 124.21
_cell_angle_gamma 90.00
loop_
_atom_site_label
_atom_site_fract_x
_atom_site_fract_y
_atom_site_fract_z
Tb1 0.0000 0.0225 0.2500
Tb2 0.1580 0.3792 0.5458
Nd1 0.1415 0.1251 0.0498
Sm1 0.0000 0.2307 0.2500
Sm2 0.0000 0.2729 0.7500
Sm3 0.0000 0.4698 0.7500
Sm4 0.2314 0.3809 0.2161
```